# 1
Compound: TiCo2AgPd
Source: Alexandria via LeMat-Bulk
Functional: SCAN
Structure: single point on PBEsol structure

Computed properties:
The value obtained for the formation energy from the elements is 1.02 eV/atom. The calculation puts the spin magnetization at 3.74 μB per formula unit. As for the space group: P4/mmm, No. 123.

Cell and atoms, written as POSCAR:
```
TiCo2AgPd
1.0
4.5206 0.0000 0.0000
0.0000 4.5206 0.0000
0.0000 0.0000 4.5155
Ti Co Ag Pd
1 2 1 1
Direct
0.0000 0.0000 0.0000
0.0000 0.5000 0.5000
0.5000 0.0000 0.5000
0.5000 0.5000 0.0000
0.0000 0.0000 0.5000
```


# 2
Compound: YCo2AgPd
Source: Alexandria via LeMat-Bulk
Functional: SCAN
Structure: single point on PBEsol structure

Computed properties:
The value obtained for the formation energy from the elements is 1.01 eV/atom. The calculation puts the spin magnetization at 3.94 μB per formula unit. As for the space group: P4/mmm, No. 123.

Cell and atoms, written as POSCAR:
```
YCo2AgPd
1.0
4.5180 0.0000 0.0000
0.0000 4.5180 0.0000
0.0000 0.0000 5.1927
Y Co Ag Pd
1 2 1 1
Direct
0.0000 0.0000 0.0000
0.0000 0.5000 0.5000
0.5000 0.0000 0.5000
0.0000 0.0000 0.5000
0.5000 0.5000 0.0000
```


# 3
Compound: ZnCoAg2Pd
Source: Alexandria via LeMat-Bulk
Functional: SCAN
Structure: single point on PBEsol structure

Computed properties:
The value obtained for the formation energy from the elements is 0.88 eV/atom. The calculation puts the spin magnetization at 1.90 μB per formula unit. As for the space group: P4/mmm, No. 123.

Cell and atoms, written as POSCAR:
```
ZnCoAg2Pd
1.0
4.5861 0.0000 0.0000
0.0000 4.5861 0.0000
0.0000 0.0000 4.3120
Zn Co Ag Pd
1 1 2 1
Direct
0.0000 0.0000 0.0000
0.0000 0.0000 0.5000
0.0000 0.5000 0.0000
0.5000 0.0000 0.0000
0.5000 0.5000 0.5000
```


# 4
Compound: CoAgPt2
Source: Alexandria via LeMat-Bulk
Functional: SCAN
Structure: single point on PBEsol structure

Computed properties:
The value obtained for the formation energy from the elements is 0.04 eV/atom. The calculation puts the spin magnetization at 2.56 μB per formula unit. As for the space group: Cmmm, No. 65.

Cell and atoms, written as POSCAR:
```
CoAgPt2
1.0
5.4665 0.0000 0.0000
0.0000 7.7128 0.0000
0.0000 0.0000 2.7238
Co Ag Pt
2 2 4
Direct
0.0000 0.0000 0.0000
0.5000 0.5000 0.0000
0.0000 0.5000 0.0000
0.5000 0.0000 0.0000
0.2500 0.2500 0.5000
0.2500 0.7500 0.5000
0.7500 0.2500 0.5000
0.7500 0.7500 0.5000
```


# 5
Compound: CoAg2Pt
Source: Alexandria via LeMat-Bulk
Functional: SCAN
Structure: single point on PBEsol structure

Computed properties:
The value obtained for the formation energy from the elements is 0.12 eV/atom. The calculation puts the spin magnetization at 2.09 μB per formula unit. As for the space group: C2/m, No. 12.

Cell and atoms, written as POSCAR:
```
CoAg2Pt
1.0
5.3263 0.0000 0.0000
0.0000 9.4032 0.0000
-1.2711 0.0000 2.3696
Co Ag Pt
2 4 2
Direct
0.0000 0.0000 0.0000
0.5000 0.5000 0.0000
0.2500 0.2500 0.5000
0.2500 0.7500 0.5000
0.7500 0.2500 0.5000
0.7500 0.7500 0.5000
0.0000 0.5000 0.0000
0.5000 0.0000 0.0000
```


# 6
Compound: CoAg2Pt
Source: Alexandria via LeMat-Bulk
Functional: SCAN
Structure: single point on PBEsol structure

Computed properties:
The value obtained for the formation energy from the elements is 0.22 eV/atom. The calculation puts the spin magnetization at 2.30 μB per formula unit. As for the space group: Pmmm, No. 47.

Cell and atoms, written as POSCAR:
```
CoAg2Pt
1.0
2.7177 0.0000 0.0000
0.0000 4.0308 0.0000
0.0000 0.0000 5.3781
Co Ag Pt
1 2 1
Direct
0.0000 0.0000 0.0000
0.5000 0.5000 0.2438
0.5000 0.5000 0.7562
0.0000 0.0000 0.5000
```


# 7
Compound: CoAgPt2
Source: Alexandria via LeMat-Bulk
Functional: SCAN
Structure: single point on PBEsol structure

Computed properties:
The value obtained for the formation energy from the elements is -0.09 eV/atom. The calculation puts the spin magnetization at 2.70 μB per formula unit. As for the space group: P4/mmm, No. 123.

Cell and atoms, written as POSCAR:
```
CoAgPt2
1.0
2.7273 0.0000 0.0000
0.0000 2.7273 0.0000
0.0000 0.0000 7.6688
Co Ag Pt
1 1 2
Direct
0.0000 0.0000 0.0000
0.0000 0.0000 0.5000
0.5000 0.5000 0.2238
0.5000 0.5000 0.7762
```


# 8
Compound: CoAg2Pt
Source: Alexandria via LeMat-Bulk
Functional: SCAN
Structure: single point on PBEsol structure

Computed properties:
The value obtained for the formation energy from the elements is 0.11 eV/atom. The calculation puts the spin magnetization at 2.10 μB per formula unit. As for the space group: Cm, No. 8.

Cell and atoms, written as POSCAR:
```
CoAg2Pt
1.0
8.9709 0.0000 0.0000
0.0000 2.7470 0.0000
-0.8999 0.0000 4.7872
Co Ag Pt
2 4 2
Direct
0.0000 0.0000 0.0000
0.5000 0.5000 0.0000
0.0055 0.5000 0.5224
0.2483 0.5000 0.2868
0.5055 0.0000 0.5224
0.7483 0.0000 0.2868
0.2624 0.0000 0.8092
0.7624 0.5000 0.8092
```


- The highest spin magnetization belongs to which entry?
  YCo2AgPd


- Number 3 is which compound?
  ZnCoAg2Pd


- Number 6 is which compound?
  CoAg2Pt


- Which of these has the lowest spin magnetization?
  ZnCoAg2Pd